No. 1
The following is a DFT calculation (PBE) of a relaxed AcHoLuMg crystal.

## Properties
V   128.3 Å³/cell
DOS(E_F)   4.49 states/eV per cell
ΔH_f (0 K)   52 meV per atom
Space-group type   F-43m, No. 216

abc: 5.6609 5.6609 5.6609
angles: 60.00 60.00 60.00
Closest atoms and distances in Å follow each position.
Positions (direct):
Mg (0.2500, 0.2500, 0.2500)  4 Ac 3.47, 4 Ho 3.47
Ac (0.0000, 0.0000, 0.0000)  4 Lu 3.47, 4 Mg 3.47
Lu (0.7500, 0.7500, 0.7500)  4 Ac 3.47, 4 Ho 3.47
Ho (0.5000, 0.5000, 0.5000)  4 Mg 3.47, 4 Lu 3.47

No. 2
The following is a DFT calculation (PBE) of a relaxed Sm12Y7Ho crystal.

## Properties
V   678.9 Å³/cell
DOS(E_F)   22.41 states/eV per cell
ΔH_f (0 K)   284 meV per atom
Distance to the lowest polymorph of the same formula   0 meV/atom
Space-group type   R-3, No. 148

abc: 8.8153 8.8153 8.8153
angles: 94.32 94.32 94.32
Closest atoms and distances in Å follow each position.
Positions (direct):
Sm (0.8103, 0.2497, 0.6751)  4 Sm 3.39-3.78, 4 Y 3.40-3.80
Sm (0.7503, 0.3249, 0.1897)  4 Sm 3.39-3.78, 4 Y 3.40-3.80
Sm (0.4719, 0.1427, 0.4066)  2 Y 3.15-3.18, 2 Sm 3.16-3.39
Sm (0.8573, 0.5934, 0.5281)  2 Y 3.15-3.18, 2 Sm 3.16-3.39
Sm (0.3249, 0.1897, 0.7503)  4 Sm 3.39-3.78, 4 Y 3.40-3.80
Sm (0.5934, 0.5281, 0.8573)  2 Y 3.15-3.18, 2 Sm 3.16-3.39
Sm (0.4066, 0.4719, 0.1427)  2 Y 3.15-3.18, 2 Sm 3.16-3.39
Sm (0.6751, 0.8103, 0.2497)  4 Sm 3.39-3.78, 4 Y 3.40-3.80
Sm (0.1427, 0.4066, 0.4719)  2 Y 3.15-3.18, 2 Sm 3.16-3.39
Sm (0.5281, 0.8573, 0.5934)  2 Y 3.15-3.18, 2 Sm 3.16-3.39
Sm (0.2497, 0.6751, 0.8103)  4 Sm 3.39-3.78, 4 Y 3.40-3.80
Sm (0.1897, 0.7503, 0.3249)  4 Sm 3.39-3.78, 4 Y 3.40-3.80
Y (0.9232, 0.6568, 0.9917)  1 Ho 3.04, 2 Sm 3.15-3.40, 1 Y 3.18
Y (0.3432, 0.0083, 0.0768)  1 Ho 3.04, 2 Sm 3.15-3.40, 1 Y 3.18
Y (0.0083, 0.0768, 0.3432)  1 Ho 3.04, 2 Sm 3.15-3.40, 1 Y 3.18
Y (0.5000, 0.5000, 0.5000)  6 Sm 3.18
Y (0.9917, 0.9232, 0.6568)  1 Ho 3.04, 2 Sm 3.15-3.40, 1 Y 3.18
Y (0.6568, 0.9917, 0.9232)  1 Ho 3.04, 2 Sm 3.15-3.40, 1 Y 3.18
Y (0.0768, 0.3432, 0.0083)  1 Ho 3.04, 2 Sm 3.15-3.40, 1 Y 3.18
Ho (0.0000, 0.0000, 0.0000)  6 Y 3.04

No. 3
The following is a DFT calculation (PBE) of a relaxed ErAlPd2 crystal.

## Properties
V   71.4 Å³/cell
DOS(E_F)   1.16 states/eV per cell
ΔH_f (0 K)   -837 meV per atom
Space-group type   P4/mmm, No. 123

abc: 3.3229 3.3229 6.4687
angles: 90.00 90.00 90.00
Closest atoms and distances in Å follow each position.
Positions (direct):
Al (0.5000, 0.5000, 0.0000)  8 Pd 2.74
Pd (0.0000, 0.0000, 0.7830)  4 Al 2.74, 1 Pd 2.81, 4 Er 2.98
Pd (0.0000, 0.0000, 0.2170)  4 Al 2.74, 1 Pd 2.81, 4 Er 2.98
Er (0.5000, 0.5000, 0.5000)  8 Pd 2.98, 2 Al 3.23, 4 Er 3.32

No. 4
The following is a DFT calculation (PBE) of a relaxed Zr2PdPb2 crystal.

## Properties
V   242.3 Å³/cell
DOS(E_F)   6.91 states/eV per cell
ΔH_f (0 K)   -55 meV per atom
Distance to the lowest polymorph of the same formula   42 meV/atom
Space-group type   P4/mbm, No. 127

abc: 7.1347 7.1347 4.7595
angles: 90.00 90.00 90.00
Closest atoms and distances in Å follow each position.
Positions (direct):
Pb (0.1613, 0.6613, 0.5000)  6 Zr 3.01-3.28, 1 Pb 3.25
Pb (0.6613, 0.8387, 0.5000)  6 Zr 3.01-3.28, 1 Pb 3.25
Pb (0.8387, 0.3387, 0.5000)  6 Zr 3.01-3.28, 1 Pb 3.25
Pb (0.3387, 0.1613, 0.5000)  6 Zr 3.01-3.28, 1 Pb 3.25
Zr (0.3440, 0.8440, 0.0000)  2 Pd 2.69, 2 Pb 3.01
Zr (0.8440, 0.6560, 0.0000)  2 Pd 2.69, 2 Pb 3.01
Zr (0.6560, 0.1560, 0.0000)  2 Pd 2.69, 2 Pb 3.01
Zr (0.1560, 0.3440, 0.0000)  2 Pd 2.69, 2 Pb 3.01
Pd (0.0000, 0.0000, 0.0000)  4 Zr 2.69
Pd (0.5000, 0.5000, 0.0000)  4 Zr 2.69

No. 5
The following is a DFT calculation (PBE) of a relaxed CaTb2TmTl4 crystal.

## Properties
V   221.9 Å³/cell
DOS(E_F)   5.53 states/eV per cell
ΔH_f (0 K)   -349 meV per atom
Space-group type   R-3m, No. 166

abc: 5.3913 5.3913 9.3480
angles: 73.24 73.24 60.00
Closest atoms and distances in Å follow each position.
Positions (direct):
Ca (0.0000, 0.0000, 0.0000)  8 Tl 3.32-3.36
Tb (0.7479, 0.7479, 0.7564)  8 Tl 3.26-3.34
Tb (0.2521, 0.2521, 0.2436)  8 Tl 3.26-3.34
Tm (0.5000, 0.5000, 0.5000)  8 Tl 3.24-3.28
Tl (0.3775, 0.3775, 0.8675)  1 Tm 3.24, 4 Tb 3.26-3.31, 3 Ca 3.32
Tl (0.8730, 0.8730, 0.3810)  3 Tm 3.28, 4 Tb 3.31-3.34, 1 Ca 3.36
Tl (0.1270, 0.1270, 0.6190)  3 Tm 3.28, 4 Tb 3.31-3.34, 1 Ca 3.36
Tl (0.6225, 0.6225, 0.1325)  1 Tm 3.24, 4 Tb 3.26-3.31, 3 Ca 3.32

No. 6
The following is a DFT calculation (PBE) of a relaxed Ga2Ni9Mo crystal.

## Properties
V   139.6 Å³/cell
DOS(E_F)   5.23 states/eV per cell
ΔH_f (0 K)   -241 meV per atom
Space-group type   P4/mmm, No. 123

abc: 3.6099 3.6099 10.7120
angles: 90.00 90.00 90.00
Closest atoms and distances in Å follow each position.
Positions (direct):
Ga (0.0000, 0.0000, 0.3384)  12 Ni 2.50-2.58
Ga (0.0000, 0.0000, 0.6616)  12 Ni 2.50-2.58
Ni (0.5000, 0.5000, 0.0000)  8 Ni 2.53, 4 Mo 2.55
Ni (0.5000, 0.5000, 0.3338)  8 Ni 2.53-2.55, 4 Ga 2.55
Ni (0.5000, 0.5000, 0.6662)  8 Ni 2.53-2.55, 4 Ga 2.55
Ni (0.5000, 0.0000, 0.1660)  2 Mo 2.53, 8 Ni 2.53-2.55, 2 Ga 2.58
Ni (0.5000, 0.0000, 0.5000)  4 Ga 2.50, 8 Ni 2.53-2.55
Ni (0.5000, 0.0000, 0.8340)  2 Mo 2.53, 8 Ni 2.53-2.55, 2 Ga 2.58
Ni (0.0000, 0.5000, 0.1660)  2 Mo 2.53, 8 Ni 2.53-2.55, 2 Ga 2.58
Ni (0.0000, 0.5000, 0.5000)  4 Ga 2.50, 8 Ni 2.53-2.55
Ni (0.0000, 0.5000, 0.8340)  2 Mo 2.53, 8 Ni 2.53-2.55, 2 Ga 2.58
Mo (0.0000, 0.0000, 0.0000)  12 Ni 2.53-2.55

No. 7
The following is a DFT calculation (PBE) of a relaxed Li2PtI8 crystal.

## Properties
V   487.7 Å³/cell
Total energy   -2.48 eV/atom
Space-group type   C2/m, No. 12

abc: 7.7754 8.8134 8.8134
angles: 91.03 114.40 114.40
Closest atoms and distances in Å follow each position.
Positions (direct):
Li (0.3622, 0.8535, 0.8535)  5 I 2.84-3.08, 1 Li 2.92
Li (0.6378, 0.1465, 0.1465)  5 I 2.84-3.08, 1 Li 2.92
Pt (0.0000, 0.0000, 0.0000)  6 I 2.70-2.71
I (0.7534, 0.8615, 0.1550)  1 Pt 2.71, 1 Li 2.99
I (0.2466, 0.8450, 0.1385)  1 Pt 2.71, 1 Li 2.99
I (0.7407, 0.7293, 0.7293)  1 Pt 2.70
I (0.2593, 0.2707, 0.2707)  1 Pt 2.70
I (0.7534, 0.1550, 0.8615)  1 Pt 2.71, 1 Li 2.99
I (0.2466, 0.1385, 0.8450)  1 Pt 2.71, 1 Li 2.99
I (0.2301, 0.5846, 0.5846)  1 Li 2.84, 1 I 2.89
I (0.7699, 0.4154, 0.4154)  1 Li 2.84, 1 I 2.89

No. 8
The following is a DFT calculation (PBE) of a relaxed NaGaGeMo2 crystal.

## Properties
V   105.9 Å³/cell
DOS(E_F)   3.59 states/eV per cell
ΔH_f (0 K)   2112 meV per atom
Space-group type   P4/mmm, No. 123

abc: 4.7816 4.6313 4.7816
angles: 90.00 90.00 90.00
Closest atoms and distances in Å follow each position.
Positions (direct):
Na (0.0000, 0.0000, 0.0000)  2 Ge 2.32, 4 Mo 2.39
Mo (0.0000, 0.0000, 0.5000)  2 Na 2.39
Mo (0.5000, 0.0000, 0.0000)  2 Na 2.39
Ge (0.0000, 0.5000, 0.0000)  2 Na 2.32
Ga (0.5000, 0.5000, 0.5000)  8 Mo 3.33, 4 Ge 3.38

No. 9
The following is a DFT calculation (PBE) of a relaxed PrMg2AlPd4 crystal.

## Properties
V   147.9 Å³/cell
DOS(E_F)   4.17 states/eV per cell
ΔH_f (0 K)   -740 meV per atom
Space-group type   R-3m, No. 166

abc: 4.4597 4.4597 8.9643
angles: 75.60 75.60 60.00
Closest atoms and distances in Å follow each position.
Positions (direct):
Pr (0.0000, 0.0000, 0.0000)  8 Pd 3.12-3.44
Mg (0.7614, 0.7614, 0.7159)  7 Pd 2.66-2.76
Mg (0.2386, 0.2386, 0.2841)  7 Pd 2.66-2.76
Al (0.5000, 0.5000, 0.5000)  8 Pd 2.52-2.71
Pd (0.4020, 0.4020, 0.7940)  1 Al 2.52, 3 Mg 2.66
Pd (0.8665, 0.8665, 0.4005)  4 Mg 2.71-2.76, 3 Al 2.71
Pd (0.1335, 0.1335, 0.5995)  4 Mg 2.71-2.76, 3 Al 2.71
Pd (0.5980, 0.5980, 0.2060)  1 Al 2.52, 3 Mg 2.66

No. 10
The following is a DFT calculation (PBE) of a relaxed CaTmLu2 crystal.

## Properties
V   129.1 Å³/cell
DOS(E_F)   5.63 states/eV per cell
ΔH_f (0 K)   92 meV per atom
Distance to the lowest polymorph of the same formula   0 meV/atom
Space-group type   P4/mmm, No. 123

abc: 3.5543 3.5543 10.2190
angles: 90.00 90.00 90.00
Closest atoms and distances in Å follow each position.
Positions (direct):
Ca (0.5000, 0.5000, 0.5000)  4 Ca 3.55, 8 Lu 3.76
Lu (0.0000, 0.0000, 0.7731)  4 Tm 3.42, 4 Lu 3.55, 4 Ca 3.76
Lu (0.0000, 0.0000, 0.2269)  4 Tm 3.42, 4 Lu 3.55, 4 Ca 3.76
Tm (0.5000, 0.5000, 0.0000)  8 Lu 3.42, 4 Tm 3.55

No. 11
The following is a DFT calculation (PBE) of a relaxed NdTlNi crystal.

## Properties
V   138.2 Å³/cell
DOS(E_F)   3.70 states/eV per cell
ΔH_f (0 K)   -304 meV per atom
Space-group type   C2/m, No. 12

abc: 4.3305 5.2789 6.5120
angles: 99.64 109.42 90.00
Closest atoms and distances in Å follow each position.
Positions (direct):
Ni (0.7784, 0.1431, 0.5569)  2 Ni 2.66, 3 Tl 2.71-2.74, 2 Nd 2.79-2.91
Ni (0.2216, 0.8569, 0.4431)  2 Ni 2.66, 3 Tl 2.71-2.74, 2 Nd 2.79-2.91
Tl (0.5862, 0.7878, 0.1725)  3 Ni 2.71-2.74
Tl (0.4138, 0.2122, 0.8275)  3 Ni 2.71-2.74
Nd (0.8675, 0.6918, 0.7351)  4 Ni 2.79-3.04
Nd (0.1325, 0.3082, 0.2649)  4 Ni 2.79-3.04

No. 12
The following is a DFT calculation (PBE) of a relaxed MgReNi2Mo crystal.

## Properties
V   76.9 Å³/cell
DOS(E_F)   5.44 states/eV per cell
ΔH_f (0 K)   1656 meV per atom
Space-group type   P4/mmm, No. 123

abc: 4.0683 4.6456 4.0683
angles: 90.00 90.00 90.00
Closest atoms and distances in Å follow each position.
Positions (direct):
Re (0.5000, 0.5000, 0.5000)  4 Mo 2.88, 8 Ni 3.09
Mo (0.0000, 0.5000, 0.0000)  2 Mg 2.32
Mg (0.0000, 0.0000, 0.0000)  4 Ni 2.03
Ni (0.0000, 0.0000, 0.5000)  2 Mg 2.03
Ni (0.5000, 0.0000, 0.0000)  2 Mg 2.03

- The highest V belongs to which entry?
  Sm12Y7Ho